1.
# LiAc2H12Rh3 PBE relaxed
data_LiAc2H12Rh3
_chemical_formula_sum 'Li3 Ac6 H36 Rh9'
_symmetry_space_group_name_H-M 'R -3 m'
_symmetry_Int_Tables_number 166
_symmetry_space_group_name_Hall '-R 3 2"'
_cell_length_a 6.5165
_cell_length_b 6.5165
_cell_length_c 14.3034
_cell_angle_alpha 90.00
_cell_angle_beta 90.00
_cell_angle_gamma 120.00
loop_
_atom_site_label
_atom_site_type_symbol
_atom_site_fract_x
_atom_site_fract_y
_atom_site_fract_z
Li1 Li 0.0000 0.0000 0.0000
Ac1 Ac 0.0000 0.0000 0.3780
H1 H 0.0221 0.5110 0.6166
H2 H 0.0505 0.5253 0.8370
Rh1 Rh 0.0000 0.5000 0.5000
# total moment	0.0	Bohr magnetons per cell
# raw total energy	-4.378	eV per atom
# crystal system	trigonal


2.
# GeAuI2O PBE relaxed
data_GeAuI2O
_chemical_formula_sum 'Ge1 Au1 I2 O1'
_symmetry_space_group_name_H-M 'P 4/m m m'
_symmetry_Int_Tables_number 123
_symmetry_space_group_name_Hall '-P 4 2'
_cell_length_a 5.771
_cell_length_b 5.771
_cell_length_c 3.723
_cell_angle_alpha 90.00
_cell_angle_beta 90.00
_cell_angle_gamma 90.00
loop_
_atom_site_label
_atom_site_type_symbol
_atom_site_fract_x
_atom_site_fract_y
_atom_site_fract_z
Ge1 Ge 0.000 0.000 0.000
Au1 Au 0.500 0.500 0.500
I1 I 0.000 0.500 0.000
O1 O 0.000 0.000 0.500
# ΔE to the lowest computed polymorph	0	meV/atom
# total moment	0.0	Bohr magnetons per cell
# uncorrected formation energy	-0.01	eV per atom
# crystal system	tetragonal


3.
# Ba2CaAl PBE relaxed
data_Ba2CaAl
_chemical_formula_sum 'Ba4 Ca2 Al2'
_symmetry_space_group_name_H-M 'I -4 m 2'
_symmetry_Int_Tables_number 119
_symmetry_space_group_name_Hall 'I -4 -2'
_cell_length_a 5.677
_cell_length_b 5.677
_cell_length_c 9.653
_cell_angle_alpha 90.00
_cell_angle_beta 90.00
_cell_angle_gamma 90.00
loop_
_atom_site_label
_atom_site_type_symbol
_atom_site_fract_x
_atom_site_fract_y
_atom_site_fract_z
Ba1 Ba 0.000 0.000 0.000
Ba2 Ba 0.000 0.500 0.250
Ca1 Ca 0.000 0.500 0.750
Al1 Al 0.000 0.000 0.500
# total moment	0.0	Bohr magnetons per cell
# DFT formation energy	0.079	eV/atom
# crystal system	tetragonal


4.
# SrLaAl PBE relaxed
data_SrLaAl
_chemical_formula_sum 'Sr4 La4 Al4'
_symmetry_space_group_name_H-M 'F -4 3 m'
_symmetry_Int_Tables_number 216
_symmetry_space_group_name_Hall 'F -4 2 3'
_cell_length_a 7.704
_cell_length_b 7.704
_cell_length_c 7.704
_cell_angle_alpha 90.00
_cell_angle_beta 90.00
_cell_angle_gamma 90.00
loop_
_atom_site_label
_atom_site_type_symbol
_atom_site_fract_x
_atom_site_fract_y
_atom_site_fract_z
Sr1 Sr 0.000 0.000 0.000
La1 La 0.000 0.000 0.500
Al1 Al 0.250 0.250 0.750
# ΔE to the lowest computed polymorph	223	meV/atom
# total moment	0.0	Bohr magnetons per cell
# DFT formation energy	0.018	eV/atom
# crystal system	cubic


5.
# La2SeBr PBE relaxed
data_La2SeBr
_chemical_formula_sum 'La6 Se3 Br3'
_symmetry_space_group_name_H-M 'R 3 m'
_symmetry_Int_Tables_number 160
_symmetry_space_group_name_Hall 'R 3 -2"'
_cell_length_a 4.3302
_cell_length_b 4.3302
_cell_length_c 29.9530
_cell_angle_alpha 90.00
_cell_angle_beta 90.00
_cell_angle_gamma 120.00
loop_
_atom_site_label
_atom_site_type_symbol
_atom_site_fract_x
_atom_site_fract_y
_atom_site_fract_z
La1 La 0.0000 0.0000 0.0000
La2 La 0.0000 0.0000 0.2233
Se1 Se 0.0000 0.0000 0.7145
Br1 Br 0.0000 0.0000 0.4983
# ΔE to the lowest computed polymorph	448	meV/atom
# total moment	7.9	Bohr magnetons per cell
# uncorrected formation energy	-1.19	eV per atom
# crystal system	trigonal


6.
# AlInAg2 PBE relaxed
data_AlInAg2
_chemical_formula_sum 'Al2 In2 Ag4'
_symmetry_space_group_name_H-M 'C m m 2'
_symmetry_Int_Tables_number 35
_cell_length_a 4.194
_cell_length_b 4.382
_cell_length_c 8.443
_cell_angle_alpha 90.00
_cell_angle_beta 90.00
_cell_angle_gamma 90.00
loop_
_symmetry_equiv_pos_as_xyz
'x,y,z'
'-x,-y,z'
'-x,y,z'
'x,-y,z'
'x+1/2,y+1/2,z'
'-x+1/2,-y+1/2,z'
'-x+1/2,y+1/2,z'
'x+1/2,-y+1/2,z'
loop_
_atom_site_label
_atom_site_type_symbol
_atom_site_fract_x
_atom_site_fract_y
_atom_site_fract_z
Al1 Al 0.000 0.000 0.000
In1 In 0.000 0.500 0.277
Ag1 Ag 0.000 0.000 0.544
Ag2 Ag 0.000 0.500 0.788
# total moment	0.0	Bohr magnetons per cell
# DFT formation energy	0.055	eV/atom
# crystal system	orthorhombic


7.
# Sc2SbBr PBE relaxed
data_Sc2SbBr
_chemical_formula_sum 'Sc8 Sb4 Br4'
_symmetry_space_group_name_H-M 'I -4 2 d'
_symmetry_Int_Tables_number 122
_symmetry_space_group_name_Hall 'I -4 2bw'
_cell_length_a 6.287
_cell_length_b 6.287
_cell_length_c 12.951
_cell_angle_alpha 90.00
_cell_angle_beta 90.00
_cell_angle_gamma 90.00
loop_
_atom_site_label
_atom_site_type_symbol
_atom_site_fract_x
_atom_site_fract_y
_atom_site_fract_z
Sc1 Sc 0.241 0.250 0.125
Sb1 Sb 0.000 0.000 0.500
Br1 Br 0.000 0.000 0.000
# ΔE to the lowest computed polymorph	332	meV/atom
# total moment	0.0	Bohr magnetons per cell
# uncorrected formation energy	-0.51	eV per atom
# crystal system	tetragonal


8.
# EuErGaNi PBE relaxed
data_EuErGaNi
_chemical_formula_sum 'Eu4 Er4 Ga4 Ni4'
_symmetry_space_group_name_H-M 'F -4 3 m'
_symmetry_Int_Tables_number 216
_symmetry_space_group_name_Hall 'F -4 2 3'
_cell_length_a 7.066
_cell_length_b 7.066
_cell_length_c 7.066
_cell_angle_alpha 90.00
_cell_angle_beta 90.00
_cell_angle_gamma 90.00
loop_
_atom_site_label
_atom_site_type_symbol
_atom_site_fract_x
_atom_site_fract_y
_atom_site_fract_z
Eu1 Eu 0.000 0.000 0.000
Er1 Er 0.000 0.000 0.500
Ga1 Ga 0.250 0.250 0.750
Ni1 Ni 0.250 0.250 0.250
# total moment	27.5	Bohr magnetons per cell
# DFT formation energy	-0.299	eV/atom
# crystal system	cubic


Number 1: mass density 7.40 g/cm3. Number 2: mass density 7.23 g/cm3. Number 3: mass density 3.65 g/cm3. Number 4: mass density 3.68 g/cm3. Number 5: mass density 4.47 g/cm3. Number 6: mass density 7.65 g/cm3. Number 7: mass density 3.78 g/cm3. Number 8: mass density 8.43 g/cm3.